(1)
A plane-wave DFT calculation with PBE was carried out for an optimized crystal structure of Pr5Nd2Tm3.

For the formation energy, the calculation gives 362.5 meV/atom. The total magnetization is 0.000 μB per atom. The density is 6.85 g/cm³. Its symmetry is Ibam, No. 72. The density of states at the Fermi level is 14.38 states/eV/f.u. The energy above the most stable polymorph in this dataset comes out at 186 meV per atom.

Unit cell a=6.8783 b=12.5716 c=12.5716 alpha=44.46 beta=74.12 gamma=74.12
Closest atoms and distances in Å follow each position.
Atoms (fractional coordinates):
Pr  0.4958  0.7542  0.7542  4 Pr 3.41-3.44, 2 Nd 3.42
Pr  0.2500  0.5000  0.5000  6 Pr 3.44
Pr  0.1278  0.4666  0.2778  1 Nd 2.92
Pr  0.7500  0.5000  0.5000  6 Pr 3.44
Pr  0.0042  0.2458  0.2458  4 Pr 3.41-3.44, 2 Nd 3.42
Pr  0.3722  0.7222  0.5334  1 Nd 2.92
Pr  0.6278  0.2778  0.4666  1 Nd 2.92
Pr  0.5042  0.2458  0.2458  4 Pr 3.41-3.44, 2 Nd 3.42
Pr  0.8722  0.5334  0.7222  1 Nd 2.92
Pr  0.9958  0.7542  0.7542  4 Pr 3.41-3.44, 2 Nd 3.42
Tm  0.7500  0.0000  0.0000  4 Nd 3.31, 2 Tm 3.44
Tm  0.3833  0.3618  0.8716  1 Nd 3.27, 1 Pr 3.33
Tm  0.8833  0.8716  0.3618  1 Nd 3.27, 1 Pr 3.33
Tm  0.6167  0.6382  0.1284  1 Nd 3.27, 1 Pr 3.33
Tm  0.1167  0.1284  0.6382  1 Nd 3.27, 1 Pr 3.33
Tm  0.2500  0.0000  0.0000  4 Nd 3.31, 2 Tm 3.44
Nd  0.1198  0.7815  0.9789  1 Pr 2.92, 1 Tm 3.27
Nd  0.8802  0.2185  0.0211  1 Pr 2.92, 1 Tm 3.27
Nd  0.6198  0.9789  0.7815  1 Pr 2.92, 1 Tm 3.27
Nd  0.3802  0.0211  0.2185  1 Pr 2.92, 1 Tm 3.27

(2)
A plane-wave DFT calculation with PBE was carried out for an optimized crystal structure of Pr6NdTm3.

For the formation energy, the calculation gives 206.0 meV/atom. The total magnetization is 0.000 μB per atom. The density is 7.13 g/cm³. Its symmetry is P2_1/c, No. 14. The density of states at the Fermi level is 12.11 states/eV/f.u. The energy above the most stable polymorph in this dataset comes out at 79 meV per atom.

Unit cell a=6.2396 b=9.4705 c=11.7931 alpha=90.00 beta=90.89 gamma=90.00
Closest atoms and distances in Å follow each position.
Atoms (fractional coordinates):
Nd  0.5000  0.5000  0.5000  4 Pr 3.08-3.44
Nd  0.0000  0.0000  0.0000  4 Pr 3.08-3.44
Pr  0.9947  0.6509  0.9180  1 Nd 3.44, 3 Pr 3.45-3.69, 4 Tm 3.48-3.75
Pr  0.9946  0.6577  0.5802  2 Tm 3.38-3.50, 3 Pr 3.54-3.63, 2 Nd 3.54-3.63
Pr  0.1295  0.9661  0.7502  2 Tm 3.06-3.31, 1 Nd 3.08
Pr  0.4947  0.8491  0.4180  1 Nd 3.44, 3 Pr 3.45-3.69, 4 Tm 3.48-3.75
Pr  0.0054  0.3423  0.4198  2 Tm 3.38-3.50, 3 Pr 3.54-3.63, 2 Nd 3.54-3.63
Pr  0.3705  0.4661  0.7498  2 Tm 3.06-3.31, 1 Nd 3.08
Pr  0.0053  0.3491  0.0820  1 Nd 3.44, 3 Pr 3.45-3.69, 4 Tm 3.48-3.75
Pr  0.5053  0.1509  0.5820  1 Nd 3.44, 3 Pr 3.45-3.69, 4 Tm 3.48-3.75
Pr  0.4946  0.8423  0.0802  2 Tm 3.38-3.50, 3 Pr 3.54-3.63, 2 Nd 3.54-3.63
Pr  0.5054  0.1577  0.9198  2 Tm 3.38-3.50, 3 Pr 3.54-3.63, 2 Nd 3.54-3.63
Pr  0.6295  0.5339  0.2502  2 Tm 3.06-3.31, 1 Nd 3.08
Pr  0.8705  0.0339  0.2498  2 Tm 3.06-3.31, 1 Nd 3.08
Tm  0.8882  0.3214  0.7499  5 Pr 3.31-3.69
Tm  0.0000  0.0000  0.5000  4 Pr 3.06-3.38
Tm  0.5000  0.5000  0.0000  4 Pr 3.06-3.38
Tm  0.3882  0.1786  0.2499  5 Pr 3.31-3.69
Tm  0.6118  0.8214  0.7501  5 Pr 3.31-3.69
Tm  0.1118  0.6786  0.2501  5 Pr 3.31-3.69

(3)
A plane-wave DFT calculation with PBE was carried out for an optimized crystal structure of Pr8NdTm2.

For the formation energy, the calculation gives 105.4 meV/atom. The total magnetization is 0.000 μB per atom. The density is 6.85 g/cm³. Its symmetry is Immm, No. 71. The density of states at the Fermi level is 15.64 states/eV/f.u. The energy above the most stable polymorph in this dataset comes out at 0 meV per atom.

Unit cell a=5.7403 b=8.3932 c=9.5640 alpha=116.03 beta=107.46 gamma=90.00
Closest atoms and distances in Å follow each position.
Atoms (fractional coordinates):
Pr  0.3614  0.1577  0.7228  1 Nd 3.35, 4 Pr 3.42-3.64, 3 Tm 3.49-3.61
Pr  0.3614  0.5651  0.7228  1 Nd 3.35, 4 Pr 3.42-3.64, 3 Tm 3.49-3.61
Pr  0.8365  0.8365  0.6730  2 Tm 3.62, 8 Pr 3.63-3.82, 2 Nd 3.91
Pr  0.1635  0.1635  0.3270  2 Tm 3.62, 8 Pr 3.63-3.82, 2 Nd 3.91
Pr  0.6386  0.8423  0.2772  1 Nd 3.35, 4 Pr 3.42-3.64, 3 Tm 3.49-3.61
Pr  0.0000  0.7051  0.0000  7 Pr 3.44-3.64, 2 Tm 3.67, 2 Nd 3.79
Pr  0.6386  0.4349  0.2772  1 Nd 3.35, 4 Pr 3.42-3.64, 3 Tm 3.49-3.61
Pr  0.0000  0.2949  0.0000  7 Pr 3.44-3.64, 2 Tm 3.67, 2 Nd 3.79
Tm  0.1999  0.6998  0.3997  10 Pr 3.49-3.67
Tm  0.8001  0.3002  0.6003  10 Pr 3.49-3.67
Nd  0.5000  0.0000  0.0000  4 Pr 3.35

(4)
A plane-wave DFT calculation with PBE was carried out for an optimized crystal structure of Pr3Nd8Tm3.

For the formation energy, the calculation gives 96.3 meV/atom. The total magnetization is 0.000 μB per atom. The density is 7.11 g/cm³. Its symmetry is Immm, No. 71. The density of states at the Fermi level is 20.35 states/eV/f.u.

Unit cell a=5.7756 b=9.8730 c=9.8730 alpha=102.41 beta=73.00 gamma=73.00
Closest atoms and distances in Å follow each position.
Atoms (fractional coordinates):
Nd  0.8375  0.5603  0.7654  4 Nd 3.16-3.41
Nd  0.6595  0.5605  0.1197  6 Nd 3.34-3.62, 2 Pr 3.71, 1 Tm 3.72
Nd  0.8375  0.7654  0.5603  4 Nd 3.16-3.41
Nd  0.1625  0.4397  0.2346  4 Nd 3.16-3.41
Nd  0.1625  0.2346  0.4397  4 Nd 3.16-3.41
Nd  0.3405  0.4395  0.8803  6 Nd 3.34-3.62, 2 Pr 3.71, 1 Tm 3.72
Nd  0.6595  0.1197  0.5605  6 Nd 3.34-3.62, 2 Pr 3.71, 1 Tm 3.72
Nd  0.3405  0.8803  0.4395  6 Nd 3.34-3.62, 2 Pr 3.71, 1 Tm 3.72
Pr  0.0000  0.1801  0.8199  2 Tm 3.54, 8 Nd 3.71-3.79
Pr  0.5000  0.0000  0.0000  4 Tm 3.63, 4 Pr 4.00, 4 Nd 4.01
Pr  0.0000  0.8199  0.1801  2 Tm 3.54, 8 Nd 3.71-3.79
Tm  0.5000  0.5000  0.5000  2 Tm 3.28
Tm  0.7991  0.2006  0.2006  1 Tm 3.28, 4 Pr 3.54-3.63, 4 Nd 3.61-3.62
Tm  0.2009  0.7994  0.7994  1 Tm 3.28, 4 Pr 3.54-3.63, 4 Nd 3.61-3.62

(5)
A plane-wave DFT calculation with PBE was carried out for an optimized crystal structure of Pr4Nd8Tm.

For the formation energy, the calculation gives 389.7 meV/atom. The total magnetization is 0.000 μB per atom. The density is 6.48 g/cm³. Its symmetry is R-3m, No. 166. The density of states at the Fermi level is 27.81 states/eV/f.u.

Unit cell a=11.8997 b=11.8997 c=7.9208 alpha=90.00 beta=138.69 gamma=120.00
Closest atoms and distances in Å follow each position.
Atoms (fractional coordinates):
Pr  0.5000  0.5000  0.0000  6 Nd 3.44-3.60
Pr  0.0000  0.0000  0.0000  2 Nd 2.85
Pr  0.5000  0.0000  0.0000  6 Nd 3.44-3.60
Pr  0.0000  0.5000  0.0000  6 Nd 3.44-3.60
Nd  0.6663  0.8331  0.9981  3 Pr 3.43-3.44, 3 Nd 3.43-3.61
Nd  0.5176  0.7588  0.2764  1 Pr 2.85, 1 Tm 3.06
Nd  0.1650  0.3318  0.9981  3 Pr 3.43-3.44, 3 Nd 3.43-3.61
Nd  0.4824  0.2412  0.7236  1 Pr 2.85, 1 Tm 3.06
Nd  0.8350  0.1669  0.0019  3 Pr 3.43-3.44, 3 Nd 3.43-3.61
Nd  0.3337  0.1669  0.0019  3 Pr 3.43-3.44, 3 Nd 3.43-3.61
Nd  0.8350  0.6682  0.0019  3 Pr 3.43-3.44, 3 Nd 3.43-3.61
Nd  0.1650  0.8331  0.9981  3 Pr 3.43-3.44, 3 Nd 3.43-3.61
Tm  0.0000  0.5000  0.5000  2 Nd 3.06

(6)
A plane-wave DFT calculation with PBE was carried out for an optimized crystal structure of Pr4Nd3Tm.

For the formation energy, the calculation gives 13.4 meV/atom. The total magnetization is 0.000 μB per atom. The density is 6.91 g/cm³. Its symmetry is Pmna, No. 53. The density of states at the Fermi level is 11.67 states/eV/f.u.

Unit cell a=7.3415 b=7.3354 c=10.3933 alpha=90.00 beta=90.00 gamma=90.00
Closest atoms and distances in Å follow each position.
Atoms (fractional coordinates):
Pr  0.9999  0.3108  0.5000  6 Nd 3.66-3.68, 2 Tm 3.67, 4 Pr 3.68
Pr  0.7474  0.0606  0.7497  6 Nd 3.63-3.71, 2 Tm 3.66, 4 Pr 3.66-3.68
Pr  0.7474  0.0606  0.2503  6 Nd 3.63-3.71, 2 Tm 3.66, 4 Pr 3.66-3.68
Pr  0.2526  0.5606  0.2497  6 Nd 3.63-3.71, 2 Tm 3.66, 4 Pr 3.66-3.68
Pr  0.2526  0.5606  0.7503  6 Nd 3.63-3.71, 2 Tm 3.66, 4 Pr 3.66-3.68
Pr  0.5002  0.3104  0.0000  6 Nd 3.66-3.67, 4 Pr 3.66, 2 Tm 3.67
Pr  0.0001  0.8108  0.0000  6 Nd 3.66-3.68, 2 Tm 3.67, 4 Pr 3.68
Pr  0.4998  0.8104  0.5000  6 Nd 3.66-3.67, 4 Pr 3.66, 2 Tm 3.67
Nd  0.2526  0.0606  0.7499  8 Pr 3.63-3.71, 2 Tm 3.66, 2 Nd 3.68
Nd  0.7474  0.5606  0.2499  8 Pr 3.63-3.71, 2 Tm 3.66, 2 Nd 3.68
Nd  0.0000  0.3104  0.0000  8 Pr 3.66-3.68, 4 Nd 3.68
Nd  0.7474  0.5606  0.7501  8 Pr 3.63-3.71, 2 Tm 3.66, 2 Nd 3.68
Nd  0.2526  0.0606  0.2501  8 Pr 3.63-3.71, 2 Tm 3.66, 2 Nd 3.68
Nd  0.0000  0.8104  0.5000  8 Pr 3.66-3.68, 4 Nd 3.68
Tm  0.4998  0.3108  0.5000  4 Nd 3.66, 8 Pr 3.66-3.67
Tm  0.5002  0.8108  0.0000  4 Nd 3.66, 8 Pr 3.66-3.67

(7)
A plane-wave DFT calculation with PBE was carried out for an optimized crystal structure of Pr4Nd4Tm3.

For the formation energy, the calculation gives 26.8 meV/atom. The total magnetization is 0.000 μB per atom. The density is 7.26 g/cm³. Its symmetry is P-1, No. 2. The density of states at the Fermi level is 18.42 states/eV/f.u. The energy above the most stable polymorph in this dataset comes out at 0 meV per atom.

Unit cell a=3.5907 b=5.7282 c=18.6289 alpha=98.85 beta=95.63 gamma=90.01
Closest atoms and distances in Å follow each position.
Atoms (fractional coordinates):
Pr  0.7239  0.7221  0.4437  5 Nd 3.53-3.69, 4 Pr 3.59-3.95, 2 Tm 3.82-3.83
Pr  0.5977  0.0954  0.1902  4 Nd 3.43-3.65, 2 Pr 3.59, 4 Tm 3.61
Pr  0.4023  0.9046  0.8098  4 Nd 3.43-3.65, 2 Pr 3.59, 4 Tm 3.61
Pr  0.2760  0.2780  0.5563  5 Nd 3.53-3.69, 4 Pr 3.59-3.95, 2 Tm 3.82-3.83
Nd  0.5448  0.5433  0.0866  1 Nd 3.17, 2 Pr 3.43-3.44
Nd  0.4552  0.4567  0.9134  1 Nd 3.17, 2 Pr 3.43-3.44
Nd  0.1838  0.1820  0.3633  2 Tm 3.44, 7 Pr 3.53-3.69, 2 Nd 3.59
Nd  0.8162  0.8181  0.6367  2 Tm 3.44, 7 Pr 3.53-3.69, 2 Nd 3.59
Tm  0.0000  0.0000  0.0000  2 Tm 3.59, 8 Nd 3.73-3.74, 4 Pr 3.92
Tm  0.1334  0.6301  0.2595  4 Nd 3.44-3.64, 2 Tm 3.59, 6 Pr 3.61-3.83
Tm  0.8665  0.3700  0.7405  4 Nd 3.44-3.64, 2 Tm 3.59, 6 Pr 3.61-3.83

(8)
A plane-wave DFT calculation with PBE was carried out for an optimized crystal structure of Pr2NdTm9.

For the formation energy, the calculation gives 30.0 meV/atom. The total magnetization is 0.000 μB per atom. The density is 8.57 g/cm³. Its symmetry is P4/mmm, No. 123. The density of states at the Fermi level is 18.00 states/eV/f.u. The energy above the most stable polymorph in this dataset comes out at 0 meV per atom.

Unit cell a=5.0092 b=5.0092 c=15.0267 alpha=90.00 beta=90.00 gamma=90.00
Closest atoms and distances in Å follow each position.
Atoms (fractional coordinates):
Tm  0.5000  0.5000  0.0000  8 Tm 3.54, 4 Nd 3.54
Tm  0.0000  0.5000  0.1661  2 Nd 3.54, 8 Tm 3.54-3.55, 2 Pr 3.55
Tm  0.5000  0.0000  0.8339  2 Nd 3.54, 8 Tm 3.54-3.55, 2 Pr 3.55
Tm  0.5000  0.0000  0.5000  8 Tm 3.54, 4 Pr 3.54
Tm  0.5000  0.5000  0.3331  4 Pr 3.54, 8 Tm 3.54-3.55
Tm  0.0000  0.5000  0.5000  8 Tm 3.54, 4 Pr 3.54
Tm  0.5000  0.5000  0.6669  4 Pr 3.54, 8 Tm 3.54-3.55
Tm  0.5000  0.0000  0.1661  2 Nd 3.54, 8 Tm 3.54-3.55, 2 Pr 3.55
Tm  0.0000  0.5000  0.8339  2 Nd 3.54, 8 Tm 3.54-3.55, 2 Pr 3.55
Pr  0.0000  0.0000  0.6667  12 Tm 3.54-3.55
Pr  0.0000  0.0000  0.3333  12 Tm 3.54-3.55
Nd  0.0000  0.0000  0.0000  12 Tm 3.54

(9)
A plane-wave DFT calculation with PBE was carried out for an optimized crystal structure of Pr8Nd2Tm3.

For the formation energy, the calculation gives 191.7 meV/atom. The total magnetization is 0.000 μB per atom. The density is 6.90 g/cm³. Its symmetry is P2/m, No. 10. The density of states at the Fermi level is 18.25 states/eV/f.u. The energy above the most stable polymorph in this dataset comes out at 38 meV per atom.

Unit cell a=5.7351 b=7.7600 c=11.1014 alpha=110.48 beta=90.01 gamma=90.00
Closest atoms and distances in Å follow each position.
Atoms (fractional coordinates):
Pr  0.5002  0.4000  0.2058  1 Tm 3.15, 1 Pr 3.15
Pr  0.4998  0.1939  0.7942  1 Tm 3.14, 1 Pr 3.15
Pr  0.0000  0.8718  0.7434  2 Tm 3.47, 2 Nd 3.68, 4 Pr 3.71-3.72
Pr  0.0000  0.1282  0.2566  2 Tm 3.47, 2 Nd 3.68, 4 Pr 3.71-3.72
Pr  0.9998  0.3283  0.6567  2 Nd 3.41, 4 Pr 3.57
Pr  0.5002  0.8061  0.2058  1 Tm 3.14, 1 Pr 3.15
Pr  0.0002  0.6717  0.3433  2 Nd 3.41, 4 Pr 3.57
Pr  0.4998  0.6000  0.7942  1 Tm 3.15, 1 Pr 3.15
Tm  0.5000  0.0000  0.0000  4 Pr 3.14-3.15
Tm  0.0000  0.7147  0.0000  3 Tm 3.33-3.62, 6 Pr 3.47-3.58
Tm  0.0000  0.2853  0.0000  3 Tm 3.33-3.62, 6 Pr 3.47-3.58
Nd  0.5002  0.7605  0.5216  8 Pr 3.41-3.68
Nd  0.4998  0.2395  0.4784  8 Pr 3.41-3.68

(10)
A plane-wave DFT calculation with PBE was carried out for an optimized crystal structure of Pr2Nd5Tm3.

For the formation energy, the calculation gives 181.1 meV/atom. The total magnetization is 0.000 μB per atom. The density is 7.24 g/cm³. Its symmetry is C2/c, No. 15. The density of states at the Fermi level is 17.04 states/eV/f.u. The energy above the most stable polymorph in this dataset comes out at 0 meV per atom.

Unit cell a=9.7308 b=9.7910 c=11.2391 alpha=126.49 beta=126.37 gamma=68.43
Closest atoms and distances in Å follow each position.
Atoms (fractional coordinates):
Nd  0.7170  0.4670  0.9341  1 Nd 3.11, 2 Tm 3.38
Nd  0.1257  0.3826  0.2310  4 Tm 3.55-3.94, 3 Nd 3.57-3.67, 2 Pr 3.61-3.81
Nd  0.3947  0.1516  0.7690  4 Tm 3.55-3.94, 3 Nd 3.57-3.67, 2 Pr 3.61-3.81
Nd  0.4819  0.7319  0.4638  1 Nd 3.11, 2 Pr 3.35
Nd  0.8743  0.6174  0.7690  4 Tm 3.55-3.94, 3 Nd 3.57-3.67, 2 Pr 3.61-3.81
Nd  0.9804  0.2304  0.4609  5 Tm 3.22-3.56, 2 Pr 3.54
Nd  0.2830  0.5330  0.0659  1 Nd 3.11, 2 Tm 3.38
Nd  0.6053  0.8484  0.2310  4 Tm 3.55-3.94, 3 Nd 3.57-3.67, 2 Pr 3.61-3.81
Nd  0.5181  0.2681  0.5362  1 Nd 3.11, 2 Pr 3.35
Nd  0.0196  0.7696  0.5391  5 Tm 3.22-3.56, 2 Pr 3.54
Tm  0.7748  0.0248  0.0496  3 Nd 3.22-3.55, 4 Pr 3.35-3.45, 2 Tm 3.45
Tm  0.9923  0.2220  0.7611  1 Pr 3.23, 5 Nd 3.36-3.57, 1 Tm 3.45
Tm  0.7312  0.4609  0.2389  1 Pr 3.23, 5 Nd 3.36-3.57, 1 Tm 3.45
Tm  0.2252  0.9752  0.9504  3 Nd 3.22-3.55, 4 Pr 3.35-3.45, 2 Tm 3.45
Tm  0.2688  0.5391  0.7611  1 Pr 3.23, 5 Nd 3.36-3.57, 1 Tm 3.45
Tm  0.0077  0.7780  0.2389  1 Pr 3.23, 5 Nd 3.36-3.57, 1 Tm 3.45
Pr  0.4706  0.7340  0.7574  3 Tm 3.23-3.45, 4 Nd 3.35-3.61
Pr  0.2132  0.9766  0.2426  3 Tm 3.23-3.45, 4 Nd 3.35-3.61
Pr  0.5294  0.2660  0.2426  3 Tm 3.23-3.45, 4 Nd 3.35-3.61
Pr  0.7868  0.0234  0.7574  3 Tm 3.23-3.45, 4 Nd 3.35-3.61